Density functional theory data (PBE-GGA) for crystalline SrLaSc at its relaxed geometry.

The structure in CIF format:
```
data_SrLaSc
_chemical_formula_sum 'Sr1 La1 Sc1'
_space_group_name_H-M_alt 'P -6 m 2'
_space_group_IT_number 187
_space_group_name_Hall 'P -6 2'
_cell_length_a 5.9120
_cell_length_b 5.9120
_cell_length_c 3.4979
_cell_angle_alpha 90.00
_cell_angle_beta 90.00
_cell_angle_gamma 120.00
loop_
_atom_site_label
_atom_site_type_symbol
_atom_site_fract_x
_atom_site_fract_y
_atom_site_fract_z
_atom_site_occupancy
Sr1 Sr 0.0000 0.0000 0.0000 1
La1 La 0.6667 0.3333 0.5000 1
Sc1 Sc 0.3333 0.6667 0.0000 1
```

Properties
Formation energy from the elements (eV per atom): 0.27
M_tot (μB/atom): 0.0000